--- a ---
A plane-wave DFT calculation with GGA+U was carried out for a relaxed structure of Li2TiV2O6.

a = 5.1818 Å, b = 10.2292 Å, c = 5.1818 Å
α = 90.00°, β = 119.05°, γ = 90.00°
Closest atoms and distances in Å follow each position.
Fractional coordinates of all 22 atoms:
O  0.8218  0.4014  0.8218  1 Ti 1.97, 2 V 2.00
O  0.4833  0.6066  0.8200  2 Li 2.01-2.20, 1 Ti 2.02, 2 V 2.03-2.13
O  0.3200  0.8934  0.9833  2 Li 2.01-2.20, 1 Ti 2.02, 2 V 2.03-2.13
O  0.1800  0.3934  0.5167  2 Li 2.01-2.20, 1 Ti 2.02, 2 V 2.03-2.13
Li  0.6236  0.7500  0.1236  4 O 2.01-2.20
O  0.5167  0.3934  0.1800  2 Li 2.01-2.20, 1 Ti 2.02, 2 V 2.03-2.13
O  0.6782  0.9014  0.6782  1 Ti 1.97, 2 V 2.00
V  0.1625  0.5000  0.8375  6 O 2.00-2.13
Li  0.1236  0.7500  0.6236  4 O 2.01-2.20
O  0.1782  0.5986  0.1782  1 Ti 1.97, 2 V 2.00
O  0.9833  0.8934  0.3200  2 Li 2.01-2.20, 1 Ti 2.02, 2 V 2.03-2.13
O  0.6800  0.1066  0.0167  2 Li 2.01-2.20, 1 Ti 2.02, 2 V 2.03-2.13
Li  0.3764  0.2500  0.8764  4 O 2.01-2.20
V  0.6625  0.0000  0.3375  6 O 2.00-2.13
V  0.3375  0.0000  0.6625  6 O 2.00-2.13
O  0.8200  0.6066  0.4833  2 Li 2.01-2.20, 1 Ti 2.02, 2 V 2.03-2.13
O  0.3218  0.0986  0.3218  1 Ti 1.97, 2 V 2.00
Ti  0.0000  0.0000  0.0000  6 O 1.97-2.02
V  0.8375  0.5000  0.1625  6 O 2.00-2.13
Li  0.8764  0.2500  0.3764  4 O 2.01-2.20
Ti  0.5000  0.5000  0.5000  6 O 1.97-2.02
O  0.0167  0.1066  0.6800  2 Li 2.01-2.20, 1 Ti 2.02, 2 V 2.03-2.13

Computed properties:
- spin magnetization (Bohr magnetons per cell) = 8.00

---

--- b ---
A plane-wave DFT calculation with GGA+U was carried out for a relaxed structure of Li2TiV2O6.

a = 2.9946 Å, b = 6.0665 Å, c = 6.6552 Å
α = 103.14°, β = 103.00°, γ = 90.00°
Closest atoms and distances in Å follow each position.
Fractional coordinates of all 11 atoms:
O  0.4997  0.7141  0.9995  2 Ti 1.98, 1 V 2.06, 1 Li 2.08
Li  0.3366  0.6795  0.6732  6 O 2.08-2.28
O  0.1568  0.6013  0.3136  1 Ti 1.98, 2 V 2.11
O  0.8226  0.9196  0.6452  3 V 2.03-2.04, 2 Li 2.13
O  0.5003  0.2859  0.0005  2 Ti 1.98, 1 V 2.06, 1 Li 2.08
Li  0.6634  0.3205  0.3268  6 O 2.08-2.28
V  0.3386  0.1524  0.6773  6 O 2.03-2.11
Ti  0.0000  0.5000  0.0000  6 O 1.98
V  0.6614  0.8476  0.3227  6 O 2.03-2.11
O  0.8432  0.3987  0.6864  1 Ti 1.98, 2 V 2.11
O  0.1774  0.0804  0.3548  3 V 2.03-2.04, 2 Li 2.13

Computed properties:
- spin magnetization (Bohr magnetons per cell) = 4.00

---

Most stable: b. Least stable: a.

---

--- a ---
A plane-wave DFT calculation with GGA+U was carried out for a relaxed structure of LiTiVO4.

a = 5.2780 Å, b = 6.0143 Å, c = 7.8957 Å
α = 100.86°, β = 108.87°, γ = 91.76°
Closest atoms and distances in Å follow each position.
Fractional coordinates of all 21 atoms:
Li  0.0023  0.5123  0.0100  6 O 2.09-2.33
Ti  0.5371  0.5966  0.3453  6 O 1.90-2.13
O  0.2822  0.3070  0.1681  2 Ti 1.94-2.13, 1 V 2.08
O  0.3003  0.7706  0.1752  2 V 1.99-2.01, 1 Ti 2.00, 1 Li 2.09
O  0.7151  0.2291  0.8252  2 Ti 1.95-2.12, 1 V 2.12
O  0.2777  0.1343  0.5129  1 Ti 2.01, 2 V 2.03-2.07, 2 Li 2.16-2.24
O  0.2899  0.4477  0.8400  2 Ti 1.99-2.03, 1 V 2.09
Ti  0.5016  0.4209  0.6709  6 O 1.94-2.08
O  0.7020  0.7032  0.8233  1 Ti 1.94, 2 V 1.99-2.05
O  0.7246  0.5289  0.1636  2 Ti 1.98-2.05, 1 V 2.13, 2 Li 2.17-2.18
V  0.4692  0.0795  0.3250  6 O 2.01-2.09
O  0.2904  0.9705  0.8390  1 Ti 1.90, 2 V 2.00-2.12
Ti  0.4869  0.2398  0.0026  6 O 1.90-2.12
O  0.7120  0.3685  0.4874  2 Ti 2.00-2.08, 1 V 2.07
V  0.5071  0.7522  0.0030  6 O 1.99-2.13
O  0.7089  0.8828  0.4932  1 Ti 1.90, 2 V 2.01-2.09, 1 Li 2.08
Li  0.9968  0.1452  0.6603  5 O 2.08-2.28
Li  0.0008  0.3344  0.3319  6 O 2.13-2.25
O  0.3044  0.6015  0.4974  2 Ti 1.96-1.97, 1 V 2.11, 1 Li 2.13
V  0.4970  0.9166  0.6656  6 O 2.00-2.12
O  0.7007  0.0572  0.1593  1 Ti 1.92, 2 V 2.04-2.05

Computed properties:
- spin magnetization (Bohr magnetons per cell) = 6.00

---

--- b ---
A plane-wave DFT calculation with GGA+U was carried out for a relaxed structure of LiTiVO4.

a = 5.9969 Å, b = 6.0231 Å, c = 10.3288 Å
α = 89.44°, β = 106.88°, γ = 119.86°
Closest atoms and distances in Å follow each position.
Fractional coordinates of all 28 atoms:
O  0.2143  0.6153  0.8717  2 Ti 1.99, 1 Li 2.04, 1 V 2.09
Li  0.3711  0.1813  0.0608  4 O 2.00-2.04
Li  0.6288  0.8183  0.9392  4 O 2.00-2.04
Ti  0.0000  0.2500  0.2500  6 O 1.98-1.99
O  0.2309  0.1061  0.8557  1 Ti 1.98, 1 Li 2.00, 2 V 2.04
Ti  0.0000  0.4999  0.0000  6 O 1.98-1.99
V  0.0000  0.7500  0.2500  6 O 2.03-2.09
O  0.7690  0.8938  0.1443  1 Ti 1.98, 1 Li 2.00, 2 V 2.04
V  0.0000  0.2500  0.7500  6 O 2.03-2.09
Li  0.3712  0.6817  0.5608  4 O 2.00-2.04
O  0.7857  0.3846  0.1283  2 Ti 1.99, 1 Li 2.04, 1 V 2.09
O  0.2313  0.8362  0.1265  1 Ti 1.98, 1 Li 2.01, 2 V 2.03
O  0.2272  0.3846  0.1283  2 Ti 1.99, 1 Li 2.04, 1 V 2.09
O  0.7728  0.1154  0.3717  2 Ti 1.99, 1 Li 2.04, 1 V 2.09
Li  0.6289  0.3187  0.4392  4 O 2.00-2.04
O  0.7686  0.1637  0.8735  1 Ti 1.98, 1 Li 2.01, 2 V 2.03
O  0.2272  0.8847  0.6283  2 Ti 1.99, 1 Li 2.04, 1 V 2.09
O  0.7857  0.8847  0.6283  2 Ti 1.99, 1 Li 2.04, 1 V 2.09
O  0.7691  0.3939  0.6443  1 Ti 1.98, 1 Li 2.00, 2 V 2.04
V  0.5000  0.7500  0.2500  6 O 2.03-2.09
O  0.2314  0.3363  0.6265  1 Ti 1.98, 1 Li 2.01, 2 V 2.03
Ti  0.0001  0.0001  0.5000  6 O 1.98-1.99
V  0.5000  0.2500  0.7500  6 O 2.03-2.09
O  0.7686  0.6638  0.3735  1 Ti 1.98, 1 Li 2.01, 2 V 2.03
O  0.2309  0.6061  0.3557  1 Ti 1.98, 1 Li 2.00, 2 V 2.04
O  0.2143  0.1154  0.3717  2 Ti 1.99, 1 Li 2.04, 1 V 2.09
O  0.7728  0.6153  0.8717  2 Ti 1.99, 1 Li 2.04, 1 V 2.09
Ti  0.0000  0.7500  0.7500  6 O 1.98-1.99

Computed properties:
- spin magnetization (Bohr magnetons per cell) = 8.00

---

Most stable: b. Least stable: a.

---

--- a ---
A plane-wave DFT calculation with GGA+U was carried out for a relaxed structure of LiTiV2O6.

a = 5.1081 Å, b = 5.0284 Å, c = 5.5299 Å
α = 62.20°, β = 62.25°, γ = 59.95°
Closest atoms and distances in Å follow each position.
Fractional coordinates of all 10 atoms:
O  0.7237  0.1333  0.7548  2 V 1.93-2.05, 1 Li 2.03, 1 Ti 2.08
V  0.5151  0.5183  0.4555  6 O 2.01-2.11
Ti  0.3202  0.3108  0.0684  5 O 1.87-2.08
O  0.9298  0.6124  0.2247  1 Ti 1.90, 2 V 2.04-2.06
O  0.1277  0.3751  0.7558  1 V 1.81
O  0.2432  0.9229  0.2293  1 Ti 1.89, 2 V 2.01-2.11
V  0.0125  0.0256  0.9473  3 O 1.81-1.95
O  0.3839  0.7237  0.7531  2 V 1.95-2.02, 1 Li 2.05, 1 Ti 2.06
O  0.6071  0.2350  0.2344  1 Ti 1.87, 2 V 2.04-2.06
Li  0.7985  0.8044  0.5918  3 O 2.03-2.07

Computed properties:
- spin magnetization (Bohr magnetons per cell) = 3.00

---

--- b ---
A plane-wave DFT calculation with GGA+U was carried out for a relaxed structure of LiTiV2O6.

a = 2.9853 Å, b = 6.5423 Å, c = 6.0192 Å
α = 101.80°, β = 89.01°, γ = 103.47°
Closest atoms and distances in Å follow each position.
Fractional coordinates of all 10 atoms:
Li  0.6614  0.3366  0.8369  6 O 2.13-2.30
V  0.6771  0.3326  0.3353  6 O 2.02-2.11
O  0.1616  0.2961  0.1013  3 V 2.02-2.04, 1 Li 2.18
Ti  0.3442  0.6940  0.6355  6 O 1.90-2.09
O  0.1866  0.3689  0.5719  1 Ti 2.02, 2 V 2.04, 2 Li 2.22-2.23
V  0.9562  0.9724  0.0263  5 O 1.82-2.03
O  0.5069  0.9952  0.2312  2 V 1.82-2.03
O  0.4903  0.9908  0.7975  1 Ti 1.94, 2 V 2.01-2.09, 1 Li 2.16
O  0.8387  0.6760  0.8689  1 V 1.93, 2 Ti 2.04-2.09, 1 Li 2.13
O  0.8430  0.6697  0.4332  2 Ti 1.90-1.92, 1 V 2.10

Computed properties:
- spin magnetization (Bohr magnetons per cell) = 3.00

---

Most stable: a. Least stable: b.

---

--- a ---
A plane-wave DFT calculation with GGA+U was carried out for a relaxed structure of LiTiVO5.

a = 5.6003 Å, b = 5.6003 Å, c = 7.1882 Å
α = 103.21°, β = 103.21°, γ = 110.14°
Closest atoms and distances in Å follow each position.
Fractional coordinates of all 16 atoms:
O  0.0544  0.6684  0.8663  1 V 1.76
O  0.7785  0.6084  0.4303  1 V 1.73
O  0.9456  0.3316  0.1337  1 V 1.76
Ti  0.0000  0.0000  0.0000  6 O 1.90-2.04
O  0.3316  0.9456  0.6337  1 V 1.76
O  0.3916  0.2215  0.0697  1 V 1.73
O  0.0684  0.9316  0.2500  2 Ti 1.90, 1 Li 1.97
Li  0.7172  0.2828  0.7500  3 O 1.97-2.14
O  0.6684  0.0544  0.3663  1 V 1.76
Ti  0.0000  0.0000  0.5000  6 O 1.90-2.04
O  0.9316  0.0684  0.7500  2 Ti 1.90, 1 Li 1.97
O  0.6084  0.7785  0.9303  1 V 1.73
Li  0.2828  0.7172  0.2500  3 O 1.97-2.14
V  0.6971  0.3029  0.2500  4 O 1.73-1.76
V  0.3029  0.6971  0.7500  4 O 1.73-1.76
O  0.2215  0.3916  0.5697  1 V 1.73

Computed properties:
- spin magnetization (Bohr magnetons per cell) = 0.00

---

--- b ---
A plane-wave DFT calculation with GGA+U was carried out for a relaxed structure of LiTiVO5.

a = 6.6438 Å, b = 6.6438 Å, c = 4.6943 Å
α = 90.00°, β = 90.00°, γ = 91.92°
Closest atoms and distances in Å follow each position.
Fractional coordinates of all 16 atoms:
Li  0.0000  0.5000  0.0000  4 O 2.07
O  0.0255  0.2585  0.7255  1 Ti 1.83, 1 V 1.89
Ti  0.2500  0.2500  0.5000  4 O 1.83
O  0.9745  0.7415  0.2745  1 Ti 1.83, 1 V 1.89
Ti  0.7500  0.7500  0.5000  4 O 1.83
V  0.2500  0.7500  0.3799  1 O 1.64
O  0.2585  0.0255  0.2745  1 Ti 1.83, 1 V 1.89
V  0.7500  0.2500  0.6201  1 O 1.64
O  0.2500  0.7500  0.7301  1 V 1.64
Li  0.5000  0.0000  0.0000  4 O 2.07
O  0.7585  0.5255  0.7255  1 Ti 1.83, 1 V 1.89
O  0.2415  0.4745  0.2745  1 Ti 1.83, 1 V 1.89
O  0.4745  0.2415  0.7255  1 Ti 1.83, 1 V 1.89
O  0.7500  0.2500  0.2699  1 V 1.64
O  0.7415  0.9745  0.7255  1 Ti 1.83, 1 V 1.89
O  0.5255  0.7585  0.2745  1 Ti 1.83, 1 V 1.89

Computed properties:
- spin magnetization (Bohr magnetons per cell) = 0.00

---

Most stable: a. Least stable: b.

---

--- a ---
A plane-wave DFT calculation with GGA+U was carried out for a relaxed structure of Li2TiVO4.

a = 2.9560 Å, b = 5.1931 Å, c = 5.2241 Å
α = 109.23°, β = 90.00°, γ = 90.00°
Closest atoms and distances in Å follow each position.
Fractional coordinates of all 8 atoms:
O  0.0000  0.2627  0.2314  1 Ti 1.99, 2 V 2.10, 2 Li 2.13
O  0.5000  0.7346  0.2329  2 Ti 2.04, 1 V 2.12, 3 Li 2.13-2.18
Li  0.5000  0.5000  0.5000  6 O 2.13
O  0.0000  0.7373  0.7686  1 Ti 1.99, 2 V 2.10, 2 Li 2.13
O  0.5000  0.2654  0.7671  2 Ti 2.04, 1 V 2.12, 3 Li 2.13-2.18
Li  0.0000  0.0000  0.5000  6 O 2.18-2.26
V  0.5000  0.0000  0.0000  6 O 2.10-2.12
Ti  0.0000  0.5000  0.0000  6 O 1.99-2.04

Computed properties:
- spin magnetization (Bohr magnetons per cell) = 2.55

---

--- b ---
A plane-wave DFT calculation with GGA+U was carried out for a relaxed structure of Li2TiVO4.

a = 4.1324 Å, b = 4.1324 Å, c = 5.2449 Å
α = 113.20°, β = 113.20°, γ = 90.00°
Closest atoms and distances in Å follow each position.
Fractional coordinates of all 8 atoms:
O  0.0232  0.5232  0.0463  1 Ti 1.98, 2 Li 2.08, 2 V 2.08
O  0.2539  0.2539  0.5079  2 Ti 2.07, 3 Li 2.07-2.21, 1 V 2.14
O  0.4768  0.9768  0.9537  1 Ti 1.98, 2 Li 2.08, 2 V 2.08
Li  0.0000  0.0000  0.0000  6 O 2.08-2.21
Ti  0.2500  0.7500  0.5000  6 O 1.98-2.07
Li  0.7500  0.2500  0.5000  4 O 2.07
O  0.7461  0.7461  0.4921  3 Li 2.07-2.21, 2 Ti 2.07, 1 V 2.14
V  0.5000  0.5000  0.0000  6 O 2.08-2.14

Computed properties:
- spin magnetization (Bohr magnetons per cell) = 2.92

---

--- c ---
A plane-wave DFT calculation with GGA+U was carried out for a relaxed structure of Li2TiVO4.

a = 5.2251 Å, b = 5.9906 Å, c = 7.8944 Å
α = 100.85°, β = 109.06°, γ = 90.17°
Closest atoms and distances in Å follow each position.
Fractional coordinates of all 24 atoms:
Li  0.0020  0.9180  0.1671  6 O 2.08-2.25
O  0.7383  0.6309  0.9887  1 Ti 1.95, 3 Li 2.10-2.18, 2 V 2.13-2.14
O  0.7370  0.4495  0.3215  1 Ti 1.95, 2 Li 2.12-2.16, 2 V 2.14
O  0.7249  0.8041  0.6667  2 Ti 2.02-2.05, 1 Li 2.11, 1 V 2.12
Li  0.9959  0.5694  0.8318  6 O 2.10-2.31
V  0.5009  0.3218  0.8355  6 O 2.11-2.14
O  0.7348  0.2747  0.6588  1 Ti 2.00, 3 Li 2.10-2.17, 2 V 2.12-2.13
O  0.2617  0.3691  0.0113  1 Ti 1.95, 3 Li 2.10-2.18, 2 V 2.13-2.14
V  0.4991  0.6782  0.1645  6 O 2.11-2.14
O  0.2630  0.5505  0.6785  1 Ti 1.95, 2 Li 2.12-2.16, 2 V 2.14
O  0.7272  0.9757  0.3364  2 Ti 2.01-2.09, 3 Li 2.10-2.25, 1 V 2.11
O  0.7283  0.1072  0.0039  2 Ti 1.99-2.09, 1 Li 2.08, 1 V 2.11
Li  0.9955  0.2522  0.5029  6 O 2.10-2.27
O  0.2751  0.1959  0.3333  2 Ti 2.02-2.05, 1 Li 2.11, 1 V 2.12
O  0.2652  0.7253  0.3412  1 Ti 2.00, 3 Li 2.10-2.17, 2 V 2.12-2.13
Li  0.0041  0.4306  0.1682  6 O 2.10-2.31
Li  0.0045  0.7478  0.4971  6 O 2.10-2.27
Ti  0.5039  0.1841  0.1652  6 O 1.95-2.09
Ti  0.5000  0.0000  0.5000  6 O 2.00-2.02
O  0.2728  0.0243  0.6636  2 Ti 2.01-2.09, 3 Li 2.10-2.25, 1 V 2.11
Li  0.9980  0.0820  0.8329  6 O 2.08-2.25
Ti  0.4961  0.8159  0.8348  6 O 1.95-2.09
V  0.5000  0.5000  0.5000  6 O 2.12-2.14
O  0.2717  0.8928  0.9961  2 Ti 1.99-2.09, 1 Li 2.08, 1 V 2.11

Computed properties:
- spin magnetization (Bohr magnetons per cell) = 9.00

---

Most stable: c. Least stable: b.